No. 1
Here is a relaxed structure of HfTiGa2 from the Alexandria database. Energies are from PBE-GGA.

Output
- VASP energy (eV per cell) = -24.98

Cell and atoms, written as extended XYZ:
```
4
Lattice="0.000 3.264 3.264 3.264 0.000 3.264 3.264 3.264 0.000" Properties=species:S:1:pos:R:3 pbc="T T T"
Hf 0.000 0.000 0.000
Ti 3.264 3.264 3.264
Ga 1.632 1.632 1.632
Ga 4.896 4.896 4.896
```


No. 2
Here is a relaxed structure of K3Pa3TiTe8 from the Alexandria database. Energies are from PBE-GGA.

Output
- VASP energy (eV per cell) = -78.27
- energy relative to the elements, uncorrected (meV/atom) = -897

Cell and atoms, written as extended XYZ:
```
15
Lattice="4.297 2.481 8.663 -4.297 2.481 8.663 0.000 -4.962 8.663" Properties=species:S:1:pos:R:3 pbc="T T T"
K -2.149 -1.241 8.663
K -2.149 1.241 17.326
K 0.000 2.481 8.663
Pa -4.297 0.000 12.995
Pa -2.149 1.241 4.332
Pa 2.149 1.241 4.332
Ti 0.000 0.000 12.995
Te 0.000 0.000 6.217
Te -2.047 -1.182 14.748
Te 0.000 -2.364 11.242
Te -2.047 1.182 11.242
Te 2.047 -1.182 14.748
Te 0.000 2.364 14.748
Te 2.047 1.182 11.242
Te 0.000 0.000 19.772
```


No. 3
Here is a relaxed structure of AcDyScHg from the Alexandria database. Energies are from PBE-GGA.

Output
- VASP energy (eV per cell) = -15.02

Cell and atoms, written as extended XYZ:
```
4
Lattice="0.000 3.852 3.852 3.852 0.000 3.852 3.852 3.852 0.000" Properties=species:S:1:pos:R:3 pbc="T T T"
Ac 0.000 0.000 0.000
Dy 1.926 1.926 1.926
Sc 5.778 5.778 5.778
Hg 3.852 3.852 3.852
```